{"formula": "ZrTi2Al", "functional": "PBE-GGA", "state": "optimized geometry", "formation_enthalpy_0k_ev_per_atom": -0.0285, "dft_energy_ev_per_atom": -7.049, "lattice_angstrom": [[-2.049, 0.153, 2.269], [-2.527, -1.727, 0.048], [2.921, -7.334, 5.580]], "species": ["Zr", "Ti", "Ti", "Al"], "fractional_positions": [[0.482, 0.482, 0.500], [0.072, 0.072, 0.760], [0.274, 0.274, 0.240], [0.672, 0.672, 0.000]]}